Record 1
VASP calculation (PBE) on a relaxed PmZrC crystal.

Structure (extended XYZ):
```
12
Lattice="5.4665 0.0000 0.0000 0.0000 5.3166 0.0000 -0.2786 0.0000 8.8929" Properties=species:S:1:pos:R:3 pbc="T T T"
Pm 1.1149 0.0000 2.7749
Pm 1.3397 2.6583 6.1180
Pm 3.8481 2.6583 2.7749
Pm 4.0730 0.0000 6.1180
Zr 0.0000 1.3465 0.0000
Zr 0.0000 3.9700 0.0000
Zr 2.7332 1.3117 0.0000
Zr 2.7332 4.0048 0.0000
C 1.0146 0.0000 7.3321
C 1.4400 2.6583 1.5608
C 3.7479 2.6583 7.3321
C 4.1733 0.0000 1.5608
```

Computed properties:
The calculated formation energy comes out at 53 kJ/mol of formula units. The calculation puts the offset from the most stable computed form at 44.3 kJ/mol of atoms. The calculated density is 6.380 g/cm3.

Record 2
VASP calculation (PBE) on a relaxed PmZr2C crystal.

Structure (extended XYZ):
```
12
Lattice="3.3407 0.0000 0.0000 -1.6704 2.8932 0.0000 0.0000 0.0000 27.3172" Properties=species:S:1:pos:R:3 pbc="T T T"
Pm 0.0000 0.0000 0.0000
Pm 0.0000 1.9288 18.2115
Pm 1.6704 0.9644 9.1057
Zr 0.0000 0.0000 3.3087
Zr 0.0000 0.0000 24.0085
Zr 0.0000 1.9288 14.9028
Zr 0.0000 1.9288 21.5202
Zr 1.6704 0.9644 5.7970
Zr 1.6704 0.9644 12.4144
C 0.0000 0.0000 13.6586
C 0.0000 1.9288 4.5529
C 1.6704 0.9644 22.7643
```

Computed properties:
The calculated formation energy comes out at -105 kJ/mol of formula units. The calculated density is 6.405 g/cm3.

Record 3
VASP calculation (PBE) on a relaxed Pr3C crystal.

Structure (extended XYZ):
```
8
Lattice="3.4479 0.0000 0.0000 0.0000 10.6091 0.0000 0.0000 0.0000 6.2930" Properties=species:S:1:pos:R:3 pbc="T T T"
Pr 0.0000 0.0000 0.0000
Pr 0.0000 1.6917 2.8921
Pr 0.0000 8.9174 2.8921
Pr 1.7240 3.6129 6.0386
Pr 1.7240 5.3046 3.1465
Pr 1.7240 6.9963 6.0386
C 0.0000 5.3046 5.0471
C 1.7240 0.0000 1.9006
```

Computed properties:
The calculated formation energy comes out at 64 kJ/mol of formula units. The calculated density is 6.272 g/cm3.

Record 4
VASP calculation (PBE) on a relaxed PrC3 crystal.

Structure (extended XYZ):
```
8
Lattice="3.8906 0.0000 0.0000 0.0000 3.8906 0.0000 0.0000 0.0000 7.7479" Properties=species:S:1:pos:R:3 pbc="T T T"
Pr 0.0000 0.0000 0.0000
Pr 1.9453 1.9453 3.8739
C 0.0000 0.0000 2.5427
C 0.0000 0.0000 3.8739
C 0.0000 0.0000 5.2052
C 1.9453 1.9453 0.0000
C 1.9453 1.9453 1.3312
C 1.9453 1.9453 6.4167
```

Computed properties:
The calculated formation energy comes out at 210 kJ/mol of formula units. The calculation puts the offset from the most stable computed form at 0.0 kJ/mol of atoms. The calculated density is 5.011 g/cm3.

Record 5
VASP calculation (PBE) on a relaxed PrC4 crystal.

Structure (extended XYZ):
```
5
Lattice="4.6820 0.0000 0.0000 0.0000 4.6820 0.0000 0.0000 0.0000 4.6820" Properties=species:S:1:pos:R:3 pbc="T T T"
Pr 0.0000 0.0000 0.0000
C 0.0000 0.0000 2.3410
C 0.0000 2.3410 0.0000
C 2.3410 0.0000 0.0000
C 2.3410 2.3410 2.3410
```

Computed properties:
The calculated formation energy comes out at 2072 kJ/mol of formula units. The calculated density is 3.057 g/cm3.

Record 6
VASP calculation (PBE) on a relaxed PrC2 crystal.

Structure (extended XYZ):
```
6
Lattice="3.8865 0.0000 0.0000 0.0000 3.8865 0.0000 0.0000 0.0000 6.5175" Properties=species:S:1:pos:R:3 pbc="T T T"
Pr 0.0000 0.0000 0.0000
Pr 1.9433 1.9433 3.2588
C 0.0000 0.0000 2.6110
C 0.0000 0.0000 3.9066
C 1.9433 1.9433 0.6478
C 1.9433 1.9433 5.8697
```

Computed properties:
The calculated formation energy comes out at -28 kJ/mol of formula units. The calculation puts the offset from the most stable computed form at 1.0 kJ/mol of atoms. The calculated density is 5.564 g/cm3.

Record 7
VASP calculation (PBE) on a relaxed PrC2 crystal.

Structure (extended XYZ):
```
12
Lattice="6.7085 0.0000 0.0000 0.0000 4.3430 0.0000 -1.8512 0.0000 6.8222" Properties=species:S:1:pos:R:3 pbc="T T T"
Pr -0.4628 0.8510 1.7056
Pr -1.3884 3.4920 5.1167
Pr 1.9658 1.3205 5.1167
Pr 2.8915 3.0225 1.7056
C -0.3822 1.5880 6.4725
C 0.5434 2.7550 3.0614
C 1.8852 0.5835 0.3497
C 0.9596 3.7595 3.7608
C 3.8977 0.5835 3.0614
C 2.9721 3.7595 6.4725
C 4.3138 1.5880 3.7608
C 5.2395 2.7550 0.3497
```

Computed properties:
The calculated formation energy comes out at -31 kJ/mol of formula units. The calculation puts the offset from the most stable computed form at 0.0 kJ/mol of atoms. The calculated density is 5.511 g/cm3.

Record 8
VASP calculation (PBE) on a relaxed Pr2C3 crystal.

Structure (extended XYZ):
```
20
Lattice="-4.3504 4.3504 4.3504 4.3504 -4.3504 4.3504 4.3504 4.3504 -4.3504" Properties=species:S:1:pos:R:3 pbc="T T T"
Pr 2.6257 1.7248 -1.7248
Pr 4.8009 -0.4505 0.4505
Pr 1.7248 -1.7248 2.6257
Pr 1.7248 1.7248 1.7248
Pr -1.7248 2.6257 1.7248
Pr 0.4505 4.8009 -0.4505
Pr -0.4505 0.4505 4.8009
Pr 3.9000 3.9000 3.9000
C 4.3504 -2.1752 2.5987
C 4.3504 -2.1752 3.9270
C 2.5987 4.3504 -2.1752
C 3.9270 4.3504 -2.1752
C 4.3504 2.1752 0.4235
C 4.3504 2.1752 1.7517
C 2.1752 0.4235 4.3504
C 2.1752 1.7517 4.3504
C 0.4235 4.3504 2.1752
C 1.7517 4.3504 2.1752
C -2.1752 2.5987 4.3504
C -2.1752 3.9270 4.3504
```

Computed properties:
The calculated formation energy comes out at -68 kJ/mol of formula units. The calculated density is 6.410 g/cm3.

Record 9
VASP calculation (PBE) on a relaxed Pr3C2 crystal.

Structure (extended XYZ):
```
10
Lattice="3.2707 1.8884 6.1925 -3.2707 1.8884 6.1925 0.0000 -3.7767 6.1925" Properties=species:S:1:pos:R:3 pbc="T T T"
Pr -2.2527 -0.1251 7.7406
Pr -1.0180 -2.0135 10.8369
Pr 1.2347 -1.8884 7.7406
Pr -1.2347 1.8884 10.8369
Pr 1.0180 2.0135 7.7406
Pr 2.2527 0.1251 10.8369
C 0.0000 0.0000 2.9068
C 0.0000 0.0000 6.3819
C 0.0000 0.0000 12.1956
C 0.0000 0.0000 15.6707
```

Computed properties:
The calculated formation energy comes out at 35 kJ/mol of formula units. The calculated density is 6.465 g/cm3.

Record 10
VASP calculation (PBE) on a relaxed PrC3 crystal.

Structure (extended XYZ):
```
8
Lattice="5.1317 0.0000 0.0000 -2.5659 4.4442 0.0000 0.0000 0.0000 5.5332" Properties=species:S:1:pos:R:3 pbc="T T T"
Pr 0.0000 2.9628 1.3833
Pr 2.5659 1.4814 4.1499
C 0.0000 2.1178 4.1499
C -0.7318 3.3853 4.1499
C 1.8341 1.0589 1.3833
C 0.7318 3.3853 4.1499
C 3.2976 1.0589 1.3833
C 2.5659 2.3264 1.3833
```

Computed properties:
The calculated formation energy comes out at 253 kJ/mol of formula units. The calculation puts the offset from the most stable computed form at 10.7 kJ/mol of atoms. The calculated density is 4.655 g/cm3.